VASP calculation (PBE) on an optimized crystal structure of Li2Zn4Au5.

Geometry as CIF:
```
data_Li2Zn4Au5
_chemical_formula_sum 'Li4 Zn8 Au10'
_cell_length_a 9.0612
_cell_length_b 5.6472
_cell_length_c 7.4701
_cell_angle_alpha 90.00
_cell_angle_beta 108.90
_cell_angle_gamma 90.00
_space_group_name_H-M_alt 'C 1 2/m 1'
_space_group_IT_number 12
loop_
_space_group_symop_operation_xyz
'x,y,z'
'-x,-y,-z'
'-x,y,-z'
'x,-y,z'
'x+1/2,y+1/2,z'
'-x+1/2,-y+1/2,-z'
'-x+1/2,y+1/2,-z'
'x+1/2,-y+1/2,z'
loop_
_atom_site_label
_atom_site_type_symbol
_atom_site_fract_x
_atom_site_fract_y
_atom_site_fract_z
Li1 Li 0.0957 0.0000 0.3697
Zn1 Zn 0.0998 0.5000 0.3784
Zn2 Zn 0.1429 0.0000 0.9979
Au1 Au 0.0000 0.5000 0.0000
Au2 Au 0.1740 0.2495 0.7094
```

Calculated values
The formation energy comes out at -0.28 eV per atom. The raw total energy is -2.5841 eV/atom. The calculation puts the mass density at 11.57 g/cm³.